# 1
DFT (PBE-GGA) results for a geometry-optimized FeH2 structure.

a b c (Å): 5.114 5.114 5.114
angles (deg): 60.00 60.00 60.00
Positions (direct):
H 0.875 0.375 0.875
H 0.875 0.875 0.875
H 0.875 0.875 0.375
H 0.375 0.875 0.875
Fe 0.750 0.750 0.750
Fe 0.000 0.000 0.000

Symmetry   Fd-3m (227)
Raw total energy   -4.1915 eV/atom
ρ   2.03 g cm⁻³

---

# 2
DFT (PBE-GGA) results for a geometry-optimized Y2MgTc3 structure.

a b c (Å): 5.338 5.338 9.306
angles (deg): 90.00 90.00 120.00
Positions (direct):
Y 0.667 0.333 0.928
Y 0.333 0.667 0.072
Y 0.667 0.333 0.572
Y 0.333 0.667 0.428
Mg 0.000 0.000 0.000
Mg 0.000 0.000 0.500
Tc 0.659 0.830 0.750
Tc 0.830 0.170 0.250
Tc 0.830 0.659 0.250
Tc 0.341 0.170 0.250
Tc 0.170 0.341 0.750
Tc 0.170 0.830 0.750

Symmetry   P6_3/mmc (194)
Raw total energy   -7.7154 eV/atom
ρ   7.17 g cm⁻³

---

# 3
DFT (PBE-GGA) results for a geometry-optimized HfCuGePd structure.

a b c (Å): 4.490 4.490 4.490
angles (deg): 60.00 60.00 60.00
Positions (direct):
Pd 0.250 0.250 0.250
Cu 0.750 0.750 0.750
Hf 0.500 0.500 0.500
Ge 0.000 0.000 0.000

Symmetry   F-43m (216)
Energy above the lowest structure with this stoichiometry   0.0000 eV/atom
Raw total energy   -6.2457 eV/atom
ρ   10.93 g cm⁻³

---

# 4
DFT (PBE-GGA) results for a geometry-optimized Nd2FeSi2WC structure.

a b c (Å): 5.892 5.892 7.206
angles (deg): 125.26 125.26 39.12
Positions (direct):
Si 0.663 0.663 0.208
Si 0.360 0.360 0.805
Fe 0.297 0.297 0.417
Nd 0.068 0.068 0.800
Nd 0.928 0.928 0.197
W 0.696 0.696 0.580
C 0.489 0.489 0.493

Symmetry   Cm (8)
Raw total energy   -7.7372 eV/atom
ρ   7.94 g cm⁻³

---

# 5
DFT (PBE-GGA) results for a geometry-optimized PaGa2Sb structure.

a b c (Å): 4.410 4.410 4.441
angles (deg): 90.00 90.00 90.00
Positions (direct):
Pa 0.000 0.000 0.500
Sb 0.500 0.500 0.500
Ga 0.500 0.000 0.000
Ga 0.000 0.500 0.000

Symmetry   P4/mmm (123)
Raw total energy   -5.3308 eV/atom
ρ   9.47 g cm⁻³

---

# 6
DFT (PBE-GGA) results for a geometry-optimized SmC2 structure.

a b c (Å): 4.703 4.703 4.703
angles (deg): 60.00 60.00 60.00
Positions (direct):
C 0.125 0.625 0.625
C 0.625 0.625 0.625
C 0.625 0.625 0.125
C 0.625 0.125 0.625
Sm 0.000 0.000 0.000
Sm 0.250 0.250 0.250

Symmetry   Fd-3m (227)
Energy above the lowest structure with this stoichiometry   2.0194 eV/atom
Raw total energy   -5.8504 eV/atom
ρ   7.87 g cm⁻³

---

# 7
DFT (PBE-GGA) results for a geometry-optimized Dy7Os2S2 structure.

a b c (Å): 8.895 8.895 8.895
angles (deg): 154.54 67.13 119.06
Positions (direct):
Os 0.150 0.411 0.739
Os 0.672 0.411 0.261
Dy 0.978 0.478 0.500
Dy 0.872 0.732 0.140
Dy 0.273 0.895 0.379
Dy 0.927 0.108 0.819
Dy 0.289 0.108 0.181
Dy 0.516 0.895 0.621
Dy 0.591 0.732 0.860
S 0.644 0.144 0.500
S 0.232 0.232 0.000

Symmetry   Imm2 (44)
Raw total energy   -6.5455 eV/atom
ρ   10.02 g cm⁻³

---

# 8
DFT (PBE-GGA) results for a geometry-optimized HfZr2Al3PtAu2 structure.

a b c (Å): 4.115 6.794 6.794
angles (deg): 119.47 90.00 90.00
Positions (direct):
Zr 0.000 0.589 0.000
Zr 0.000 0.000 0.589
Au 0.500 0.662 0.334
Au 0.500 0.334 0.662
Hf 0.000 0.409 0.409
Al 0.500 0.757 0.757
Al 0.500 0.998 0.245
Al 0.500 0.245 0.998
Pt 0.000 0.006 0.006

Symmetry   Amm2 (38)
Raw total energy   -6.4421 eV/atom
ρ   10.35 g cm⁻³

---

- Among the records above, which one has the highest ρ?
  HfCuGePd